(1)
Density functional theory data (PBE) for HfTe2Pd after structural relaxation.

Cell: 3.9061 3.9061 26.1757 Å, 90.00 90.00 120.00°
With the nearest neighbours (Å) after each atom.
Space group R-3m (No. 166, hexagonal axes)
Asymmetric unit:
Hf 0.0000 0.0000 0.0000 x3  6 Te 2.88
Te 0.0000 0.0000 0.4018 x6  1 Pd 2.57, 3 Hf 2.88
Pd 0.0000 0.0000 0.5000 x3  2 Te 2.57

The value obtained for the uncorrected formation energy is -34.3 kJ per mole of atoms.

=====

(2)
Density functional theory data (PBE) for InPIrCl2 after structural relaxation.

Cell: 5.2010 5.2010 4.4831 Å, 90.00 90.00 90.00°
With the nearest neighbours (Å) after each atom.
Space group P4/mmm (No. 123)
Asymmetric unit:
In 0.0000 0.0000 0.0000 x1  8 Cl 3.43, 4 P 3.68
P 0.5000 0.5000 0.0000 x1  2 Ir 2.24
Ir 0.5000 0.5000 0.5000 x1  2 P 2.24
Cl 0.0000 0.5000 0.5000 x2  2 Ir 2.60

The value obtained for the uncorrected formation energy is -2.8 kJ per mole of atoms.

=====

(3)
Density functional theory data (PBE) for Hf2TlAgPd after structural relaxation.

Cell: 5.0312 5.0312 5.0805 Å, 90.00 90.00 90.00°
With the nearest neighbours (Å) after each atom.
Space group P4/mmm (No. 123)
Asymmetric unit:
Hf 0.0000 0.5000 0.0000 x2  2 Pd 2.52
Tl 0.0000 0.0000 0.5000 x1  2 Pd 2.54
Ag 0.5000 0.5000 0.5000 x1  4 Tl 3.56, 8 Hf 3.58
Pd 0.0000 0.0000 0.0000 x1  4 Hf 2.52, 2 Tl 2.54

Its formation energy is 0.593 eV per atom.

=====

(4)
Density functional theory data (PBE) for RbSn5 after structural relaxation.

Cell: 9.2911 5.3556 8.0585 Å, 90.00 90.02 90.00°
With the nearest neighbours (Å) after each atom.
Space group C2/m (No. 12)
Asymmetric unit:
Rb 0.0000 0.0000 0.0000 x2  14 Sn 3.84-4.18
Sn 0.0000 0.0000 0.5000 x2  12 Sn 3.33-3.56
Sn 0.1665 0.5000 0.3478 x4  7 Sn 2.98-3.33
Sn 0.1666 0.5000 0.7179 x4  4 Sn 2.98-3.14

Its formation energy is -0.085 eV per atom.

=====

(5)
Density functional theory data (PBE) for MnAl2Au after structural relaxation.

Cell: 6.0834 6.0834 6.0834 Å, 90.00 90.00 90.00°
With the nearest neighbours (Å) after each atom.
Space group Fm-3m (No. 225)
Asymmetric unit:
Mn 0.0000 0.0000 0.0000 x4  8 Al 2.63
Al 0.2500 0.2500 0.2500 x8  4 Mn 2.63, 4 Au 2.63
Au 0.0000 0.0000 0.5000 x4  8 Al 2.63

Its formation energy is -0.125 eV per atom.

=====

(6)
Density functional theory data (PBE) for Pr5Os2I2 after structural relaxation.

Cell: 17.1101 8.1663 8.1652 Å, 90.00 90.00 90.00°
With the nearest neighbours (Å) after each atom.
Space group Cmce (No. 64)
Asymmetric unit:
Pr 0.0000 0.0000 0.0000 x4  4 Os 3.15
Pr 0.1050 0.1553 0.3452 x16  3 Os 2.97-3.01
Os 0.0000 0.1408 0.6405 x8  8 Pr 2.97-3.15, 1 Os 3.25
I 0.2127 0.0000 0.0000 x8  7 Pr 3.59-3.64

The value obtained for the uncorrected formation energy is -45.9 kJ per mole of atoms.

=====

(7)
Density functional theory data (PBE) for Y2Cl2O after structural relaxation.

Cell: 4.1302 4.1302 13.0463 Å, 90.00 90.00 90.00°
With the nearest neighbours (Å) after each atom.
Space group P4/mmm (No. 123)
Asymmetric unit:
Y 0.0000 0.0000 0.1582 x2  1 O 2.06
Cl 0.0000 0.0000 0.3462 x2  1 Y 2.45
O 0.0000 0.0000 0.0000 x1  2 Y 2.06

The value obtained for the uncorrected formation energy is -130.7 kJ per mole of atoms.

=====

(8)
Density functional theory data (PBE) for ZrBi2Pd8 after structural relaxation.

Cell: 5.0286 5.0521 7.7788 Å, 95.88 92.21 98.69°
With the nearest neighbours (Å) after each atom.
Space group P-1 (No. 2)
Asymmetric unit:
Zr 0.0000 0.0000 0.0000 x1  10 Pd 2.79-2.91
Bi 0.3895 0.2001 0.7158 x2  11 Pd 2.83-2.98, 1 Zr 3.15
Pd 0.0792 0.5433 0.1763 x2  8 Pd 2.80-3.00, 2 Bi 2.84-2.97, 2 Zr 2.87-2.90
Pd 0.1670 0.0965 0.3502 x2  1 Zr 2.79, 8 Pd 2.82-3.08, 3 Bi 2.90-2.98
Pd 0.2635 0.6368 0.5440 x2  9 Pd 2.82-3.02, 3 Bi 2.83-2.98
Pd 0.4600 0.7349 0.9113 x2  7 Pd 2.85-3.00, 2 Zr 2.87-2.91, 3 Bi 2.93-2.98

Its formation energy is -0.388 eV per atom.

=====

(9)
Density functional theory data (PBE) for PmGaAg2Pd2 after structural relaxation.

Cell: 5.3220 5.3220 10.1029 Å, 90.00 90.00 90.00°
With the nearest neighbours (Å) after each atom.
Space group I4/mmm (No. 139)
Asymmetric unit:
Pm 0.0000 0.0000 0.0000 x2  2 Pd 2.70
Ga 0.0000 0.0000 0.5000 x2  2 Pd 2.35
Ag 0.0000 0.5000 0.2500 x4  4 Pd 2.67
Pd 0.0000 0.0000 0.2669 x4  1 Ga 2.35

Its formation energy is 0.010 eV per atom.